# PBE-GGA TbHoSb, relaxed
data_TbHoSb
_cell_length_a 5.0626
_cell_length_b 5.0626
_cell_length_c 5.0626
_cell_angle_alpha 60.00
_cell_angle_beta 60.00
_cell_angle_gamma 60.00
_symmetry_space_group_name_H-M 'P 1'
_symmetry_Int_Tables_number 1
_symmetry_space_group_name_Hall 'P 1'
loop_
_atom_site_label
_atom_site_fract_x
_atom_site_fract_y
_atom_site_fract_z
Tb1 0.0000 0.0000 0.0000
Ho1 0.5000 0.5000 0.5000
Sb1 0.7500 0.7500 0.7500
# calculated volume	91.8	Å³/cell
# raw total energy	-0.18267	Ha/atom


# PBE-GGA TbHo2Sb3, relaxed
data_TbHo2Sb3
_cell_length_a 4.3748
_cell_length_b 4.3748
_cell_length_c 10.7025
_cell_angle_alpha 90.00
_cell_angle_beta 90.00
_cell_angle_gamma 120.00
_symmetry_space_group_name_H-M 'P 1'
_symmetry_Int_Tables_number 1
_symmetry_space_group_name_Hall 'P 1'
loop_
_atom_site_label
_atom_site_fract_x
_atom_site_fract_y
_atom_site_fract_z
Tb1 0.0000 0.0000 0.0000
Ho1 0.3333 0.6667 0.3337
Ho2 0.6667 0.3333 0.6663
Sb1 0.0000 0.0000 0.5000
Sb2 0.3333 0.6667 0.8315
Sb3 0.6667 0.3333 0.1685
# calculated volume	177.4	Å³/cell
# raw total energy	-0.20153	Ha/atom


# PBE-GGA Tb2HoSb3, relaxed
data_Tb2HoSb3
_cell_length_a 4.3851
_cell_length_b 4.3851
_cell_length_c 10.7366
_cell_angle_alpha 90.00
_cell_angle_beta 90.00
_cell_angle_gamma 120.00
_symmetry_space_group_name_H-M 'P 1'
_symmetry_Int_Tables_number 1
_symmetry_space_group_name_Hall 'P 1'
loop_
_atom_site_label
_atom_site_fract_x
_atom_site_fract_y
_atom_site_fract_z
Tb1 0.3333 0.6667 0.3325
Tb2 0.6667 0.3333 0.6675
Ho1 0.0000 0.0000 0.0000
Sb1 0.0000 0.0000 0.5000
Sb2 0.3333 0.6667 0.8351
Sb3 0.6667 0.3333 0.1649
# calculated volume	178.8	Å³/cell
# raw total energy	-0.20228	Ha/atom


# PBE-GGA TbHo3Sb4, relaxed
data_TbHo3Sb4
_cell_length_a 6.1833
_cell_length_b 6.1833
_cell_length_c 6.1833
_cell_angle_alpha 90.00
_cell_angle_beta 90.00
_cell_angle_gamma 90.00
_symmetry_space_group_name_H-M 'P 1'
_symmetry_Int_Tables_number 1
_symmetry_space_group_name_Hall 'P 1'
loop_
_atom_site_label
_atom_site_fract_x
_atom_site_fract_y
_atom_site_fract_z
Tb1 0.0000 0.0000 0.0000
Ho1 0.0000 0.5000 0.5000
Ho2 0.5000 0.0000 0.5000
Ho3 0.5000 0.5000 0.0000
Sb1 0.0000 0.0000 0.5000
Sb2 0.0000 0.5000 0.0000
Sb3 0.5000 0.0000 0.0000
Sb4 0.5000 0.5000 0.5000
# calculated volume	236.4	Å³/cell
# raw total energy	-0.20131	Ha/atom